A plane-wave DFT calculation with PBE was carried out for a relaxed structure of MgPSe2.

```
MgPSe2
1.0
3.828 0.000 0.000
0.000 3.828 0.000
0.000 0.000 5.508
Mg P Se
1 1 2
Direct
0.000 0.000 0.000
0.500 0.500 0.504
0.000 0.000 0.496
0.500 0.500 0.983
```

The density of states at the Fermi level is 1.85 states/eV/cell. The formation energy (no corrections) comes out at -415 meV/atom. For the calculated total energy, the calculation gives -3.91 eV per atom.